PmTh6Bi8: optimized geometry, PBE-GGA.

Results
- Crystal system: trigonal
- ΔE_f: -528 meV/atom
- DOS(E_F): 11.4 states/eV/cell
- Calculated density: 10.1 g cm⁻³

Cell and atoms, written as extended XYZ:
```
15
Lattice="4.834 2.791 6.486 -4.834 2.791 6.486 0.000 -5.582 6.486" Properties=species:S:1:pos:R:3 pbc="T T T"
Pm 0.000 0.000 0.000
Th -1.878 -2.394 7.972
Th -3.013 0.430 11.485
Th -1.134 2.824 7.972
Th 1.134 -2.824 11.485
Th 3.013 -0.430 7.972
Th 1.878 2.394 11.485
Bi -3.452 0.502 8.262
Bi -2.161 -2.739 11.195
Bi 0.000 0.000 6.483
Bi 1.291 -3.241 8.262
Bi -1.291 3.241 11.195
Bi 0.000 0.000 12.974
Bi 2.161 2.739 8.262
Bi 3.452 -0.502 11.195
```

---

KB6Pt12: optimized geometry, PBE-GGA.

Results
- Crystal system: trigonal
- ΔE_f: -223 meV/atom
- DOS(E_F): 7.6 states/eV/cell
- Calculated density: 14.3 g cm⁻³

Cell and atoms, written as extended XYZ:
```
19
Lattice="5.521 3.188 2.697 -5.521 3.188 2.697 0.000 -6.376 2.697" Properties=species:S:1:pos:R:3 pbc="T T T"
K 0.000 0.000 0.000
B 0.000 -2.346 2.752
B -2.032 1.173 2.752
B -2.032 -1.173 5.340
B 2.032 1.173 2.752
B 2.032 -1.173 5.340
B 0.000 2.346 5.340
Pt -2.073 -3.591 4.046
Pt -4.147 0.000 4.046
Pt -1.590 -0.918 3.041
Pt 1.590 -0.918 3.041
Pt 0.000 1.836 3.041
Pt 2.073 -3.591 4.046
Pt -2.073 3.591 4.046
Pt 0.000 -1.836 5.051
Pt -1.590 0.918 5.051
Pt 1.590 0.918 5.051
Pt 4.147 0.000 4.046
Pt 2.073 3.591 4.046
```

---

Rb2Tl2Pt: optimized geometry, PBE-GGA.

Results
- Crystal system: monoclinic
- ΔE_f: -117 meV/atom
- DOS(E_F): 3.4 states/eV/cell
- Distance to the lowest polymorph of the same formula: 0.007 eV per atom
- Calculated density: 6.8 g cm⁻³

Cell and atoms, written as extended XYZ:
```
10
Lattice="6.400 -3.556 0.000 6.400 3.556 0.000 -1.606 0.000 8.258" Properties=species:S:1:pos:R:3 pbc="T T T"
Rb 1.604 0.674 1.231
Rb 0.801 -0.674 5.360
Rb 10.393 0.674 2.898
Rb 9.590 -0.674 7.027
Tl 4.069 0.691 4.085
Tl 3.266 -0.691 8.214
Tl 7.928 0.691 0.044
Tl 7.125 -0.691 4.172
Pt 5.999 0.748 2.064
Pt 5.196 -0.748 6.193
```

---

Sc3Al8Mo: optimized geometry, PBE-GGA.

Results
- Crystal system: trigonal
- ΔE_f: -378 meV/atom
- DOS(E_F): 5.2 states/eV/cell
- Calculated density: 3.6 g cm⁻³

Cell and atoms, written as extended XYZ:
```
12
Lattice="2.626 1.516 8.623 -2.626 1.516 8.623 0.000 -3.033 8.623" Properties=species:S:1:pos:R:3 pbc="T T T"
Sc 0.000 0.000 0.000
Sc 0.000 0.000 3.252
Sc 0.000 0.000 13.053
Al -1.317 -0.761 10.226
Al 0.000 -1.522 6.015
Al -1.318 0.761 6.015
Al 0.000 0.000 8.117
Al 1.318 -0.761 10.226
Al 0.000 1.521 10.226
Al 1.318 0.761 6.015
Al 0.000 0.000 21.060
Mo 0.000 0.000 16.167
```

---

What is the calculated density in the third record?
6.8 g cm⁻³

---

The lowest DOS(E_F) belongs to which entry?
Rb2Tl2Pt

---

Which formula does entry 3 have?
Rb2Tl2Pt